[1]
## KBPb (PBE)

Data for an optimized crystal structure of KBPb.

Results
SG: No. 63
Total DFT energy (no corrections): -3.658 eV/atom

Cell and atoms, written as CIF:
```
data_KBPb
_cell_length_a 11.648
_cell_length_b 11.648
_cell_length_c 3.231
_cell_angle_alpha 90.00
_cell_angle_beta 90.00
_cell_angle_gamma 156.78
_symmetry_space_group_name_H-M 'P 1'
_symmetry_Int_Tables_number 1
_symmetry_space_group_name_Hall 'P 1'
loop_
_atom_site_label
_atom_site_type_symbol
_atom_site_fract_x
_atom_site_fract_y
_atom_site_fract_z
Pb1 Pb 0.714 0.286 0.250
Pb2 Pb 0.286 0.714 0.750
K1 K 0.086 0.914 0.250
K2 K 0.914 0.086 0.750
B1 B 0.500 0.500 0.000
B2 B 0.500 0.500 0.500
```


[2]
## Mo2WN (PBE)

Data for an optimized crystal structure of Mo2WN.

Results
SG: No. 166
Formation energy from raw total energies: 0.423 eV per atom

Cell and atoms, written as CIF:
```
data_Mo2WN
_cell_length_a 2.806
_cell_length_b 2.806
_cell_length_c 8.323
_cell_angle_alpha 80.30
_cell_angle_beta 80.30
_cell_angle_gamma 60.00
_symmetry_space_group_name_H-M 'P 1'
_symmetry_Int_Tables_number 1
_symmetry_space_group_name_Hall 'P 1'
loop_
_atom_site_label
_atom_site_type_symbol
_atom_site_fract_x
_atom_site_fract_y
_atom_site_fract_z
Mo1 Mo 0.108 0.108 0.677
Mo2 Mo 0.892 0.892 0.323
W1 W 0.000 0.000 0.000
N1 N 0.500 0.500 0.500
```


[3]
## La2Zn2Au (PBE)

Data for an optimized crystal structure of La2Zn2Au.

Results
SG: No. 139
Total DFT energy (no corrections): -3.455 eV/atom

Cell and atoms, written as CIF:
```
data_La2Zn2Au
_cell_length_a 3.732
_cell_length_b 3.732
_cell_length_c 9.631
_cell_angle_alpha 78.83
_cell_angle_beta 78.83
_cell_angle_gamma 90.00
_symmetry_space_group_name_H-M 'P 1'
_symmetry_Int_Tables_number 1
_symmetry_space_group_name_Hall 'P 1'
loop_
_atom_site_label
_atom_site_type_symbol
_atom_site_fract_x
_atom_site_fract_y
_atom_site_fract_z
Zn1 Zn 0.750 0.250 0.500
Zn2 Zn 0.250 0.750 0.500
Au1 Au 0.000 0.000 0.000
La1 La 0.398 0.398 0.204
La2 La 0.602 0.602 0.796
```